# 1
Computed, not measured: crystalline Ti2ZnS at its relaxed geometry at the PBE level of DFT.

As for the offset from the most stable computed form: 416 meV per atom. The energy relative to the elements, uncorrected is -0.27 eV per atom. As for the spin magnetization: 0.000 μB per atom. The total energy comes out at -89.12 eV/cell. As for the density of states at the Fermi level: 19.740 states/eV per cell.

Unit cell a=6.2157 b=6.2157 c=6.2157 alpha=90.00 beta=90.00 gamma=90.00
Space group Fm-3m (No. 225)
One atom of each set of equivalent atoms:
Ti  0.2500  0.2500  0.2500 (multiplicity 8)
Zn  0.0000  0.0000  0.0000 (multiplicity 4)
S  0.0000  0.0000  0.5000 (multiplicity 4)



# 2
Computed, not measured: crystalline CdSb2TePb at its relaxed geometry at the PBE level of DFT.

As for the offset from the most stable computed form: 0 meV per atom. The energy relative to the elements, uncorrected is 0.50 eV per atom. As for the spin magnetization: 0.000 μB per atom. The total energy comes out at -13.50 eV/cell. As for the density of states at the Fermi level: 4.926 states/eV per cell.

Unit cell a=5.4761 b=5.4761 c=5.7474 alpha=90.00 beta=90.00 gamma=90.00
Space group P4/mmm (No. 123)
One atom of each set of equivalent atoms:
Cd  0.0000  0.0000  0.0000 (multiplicity 1)
Sb  0.0000  0.5000  0.0000 (multiplicity 2)
Te  0.0000  0.0000  0.5000 (multiplicity 1)
Pb  0.5000  0.5000  0.5000 (multiplicity 1)



# 3
Computed, not measured: crystalline CdP2C2 at its relaxed geometry at the PBE level of DFT.

As for the offset from the most stable computed form: 386 meV per atom. As for the spin magnetization: 0.000 μB per atom. The total energy comes out at -45.12 eV/cell. For the energy relative to the elements, the calculation gives 1.52 eV per atom. As for the density of states at the Fermi level: 5.862 states/eV per cell.

Unit cell a=7.8741 b=7.8741 c=2.6785 alpha=90.00 beta=90.00 gamma=90.00
Space group P4/mbm (No. 127)
One atom of each set of equivalent atoms:
Cd  0.0000  0.0000  0.0000 (multiplicity 2)
P  0.1243  0.3757  0.5000 (multiplicity 4)
C  0.0687  0.5687  0.0000 (multiplicity 4)



# 4
Computed, not measured: crystalline Ca2CoAgC at its relaxed geometry at the PBE level of DFT.

As for the spin magnetization: 0.000 μB per atom. The total energy comes out at -23.69 eV/cell. For the energy relative to the elements, the calculation gives -0.10 eV per atom. As for the density of states at the Fermi level: 2.511 states/eV per cell.

Unit cell a=5.1697 b=5.1697 c=3.6219 alpha=90.00 beta=90.00 gamma=90.00
Space group P4/mmm (No. 123)
One atom of each set of equivalent atoms:
Ca  0.0000  0.5000  0.0000 (multiplicity 2)
Co  0.0000  0.0000  0.5000 (multiplicity 1)
Ag  0.5000  0.5000  0.5000 (multiplicity 1)
C  0.0000  0.0000  0.0000 (multiplicity 1)



# 5
Computed, not measured: crystalline V2H2Ir at its relaxed geometry at the PBE level of DFT.

As for the offset from the most stable computed form: 235 meV per atom. As for the spin magnetization: 0.000 μB per atom. The total energy comes out at -67.77 eV/cell. As for the density of states at the Fermi level: 8.693 states/eV per cell.

Unit cell a=5.8892 b=5.8892 c=2.7156 alpha=90.00 beta=90.00 gamma=90.00
Space group P4/mbm (No. 127)
One atom of each set of equivalent atoms:
V  0.1455  0.3545  0.0000 (multiplicity 4)
H  0.1189  0.6189  0.5000 (multiplicity 4)
Ir  0.0000  0.0000  0.5000 (multiplicity 2)



# 6
Computed, not measured: crystalline ZrAsRuRh2 at its relaxed geometry at the PBE level of DFT.

As for the offset from the most stable computed form: 0 meV per atom. As for the spin magnetization: 0.000 μB per atom. The total energy comes out at -33.80 eV/cell. For the energy relative to the elements, the calculation gives 0.68 eV per atom. As for the density of states at the Fermi level: 6.377 states/eV per cell.

Unit cell a=4.7004 b=4.7004 c=4.5876 alpha=90.00 beta=90.00 gamma=90.00
Space group P4/mmm (No. 123)
One atom of each set of equivalent atoms:
Zr  0.0000  0.0000  0.0000 (multiplicity 1)
As  0.5000  0.5000  0.0000 (multiplicity 1)
Ru  0.5000  0.5000  0.5000 (multiplicity 1)
Rh  0.0000  0.5000  0.5000 (multiplicity 2)